(1)
Compound: HoPbO3
Source: OQMD via LeMat-Bulk
Functional: GGA-PBE
Structure: relaxed

CIF file:
```
data_HoPbO3
_chemical_formula_sum 'Ho6 Pb6 O18'
_symmetry_space_group_name_H-M 'R -3 c'
_symmetry_Int_Tables_number 167
_symmetry_space_group_name_Hall '-R 3 2"c'
_cell_length_a 5.9704
_cell_length_b 5.9704
_cell_length_c 14.6718
_cell_angle_alpha 90.00
_cell_angle_beta 90.00
_cell_angle_gamma 120.00
loop_
_atom_site_label
_atom_site_fract_x
_atom_site_fract_y
_atom_site_fract_z
Ho1 0.0000 0.0000 0.0000
Pb1 0.0000 0.0000 0.2500
O1 0.0000 0.3752 0.2500
```

Results
Raw total energy   -6.731 eV per atom

---

(2)
Compound: HoPbO3
Source: OQMD via LeMat-Bulk
Functional: GGA-PBE
Structure: relaxed

CIF file:
```
data_HoPbO3
_chemical_formula_sum 'Ho4 Pb4 O12'
_symmetry_space_group_name_H-M 'P 1 21/m 1'
_symmetry_Int_Tables_number 11
_cell_length_a 5.708
_cell_length_b 8.619
_cell_length_c 6.008
_cell_angle_alpha 90.00
_cell_angle_beta 90.84
_cell_angle_gamma 90.00
loop_
_symmetry_equiv_pos_as_xyz
'x,y,z'
'-x,-y,-z'
'-x,y+1/2,-z'
'x,-y+1/2,z'
loop_
_atom_site_label
_atom_site_fract_x
_atom_site_fract_y
_atom_site_fract_z
Ho1 0.011 0.250 0.047
Ho2 0.480 0.250 0.561
Pb1 0.000 0.000 0.500
Pb2 0.500 0.000 0.000
O1 0.163 0.086 0.803
O2 0.172 0.750 0.603
O3 0.303 0.085 0.333
O4 0.322 0.750 0.111
```

Results
Raw total energy   -6.738 eV per atom

---

(3)
Compound: HoPbO3
Source: OQMD via LeMat-Bulk
Functional: GGA-PBE
Structure: relaxed

CIF file:
```
data_HoPbO3
_chemical_formula_sum 'Ho4 Pb4 O12'
_symmetry_space_group_name_H-M 'P n m a'
_symmetry_Int_Tables_number 62
_cell_length_a 6.041
_cell_length_b 8.423
_cell_length_c 5.782
_cell_angle_alpha 90.00
_cell_angle_beta 90.00
_cell_angle_gamma 90.00
loop_
_symmetry_equiv_pos_as_xyz
'x,y,z'
'-x,-y,-z'
'-x+1/2,-y,z+1/2'
'x+1/2,y,-z+1/2'
'x+1/2,-y+1/2,-z+1/2'
'-x+1/2,y+1/2,z+1/2'
'-x,y+1/2,-z'
'x,-y+1/2,z'
loop_
_atom_site_label
_atom_site_fract_x
_atom_site_fract_y
_atom_site_fract_z
Ho1 0.000 0.000 0.000
Pb1 0.045 0.250 0.488
O1 0.075 0.750 0.143
O2 0.182 0.570 0.676
```

Results
Raw total energy   -6.803 eV per atom

---

(4)
Compound: HoTaPb2O6
Source: OQMD via LeMat-Bulk
Functional: GGA-PBE
Structure: relaxed

CIF file:
```
data_HoTaPb2O6
_chemical_formula_sum 'Ho2 Ta2 Pb4 O12'
_symmetry_space_group_name_H-M 'C 1 2/m 1'
_symmetry_Int_Tables_number 12
_cell_length_a 10.058
_cell_length_b 5.863
_cell_length_c 5.932
_cell_angle_alpha 90.00
_cell_angle_beta 125.12
_cell_angle_gamma 90.00
loop_
_symmetry_equiv_pos_as_xyz
'x,y,z'
'-x,-y,-z'
'-x,y,-z'
'x,-y,z'
'x+1/2,y+1/2,z'
'-x+1/2,-y+1/2,-z'
'-x+1/2,y+1/2,-z'
'x+1/2,-y+1/2,z'
loop_
_atom_site_label
_atom_site_fract_x
_atom_site_fract_y
_atom_site_fract_z
Ho1 0.000 0.000 0.000
Ta1 0.000 0.500 0.500
Pb1 0.247 0.000 0.727
O1 0.050 0.260 0.316
O2 0.234 0.500 0.817
```

Results
Raw total energy   -7.733 eV per atom